Material: Sr2Rh3PbO8
Method: DFT, PBE
State: relaxed

Geometry as POSCAR:
```
Sr2Rh3PbO8
1.0
3.257 1.880 5.678
-3.257 1.880 5.678
0.000 -3.760 5.678
Sr Rh Pb O
2 3 1 8
Cartesian
0.000 0.000 0.000
0.000 0.000 6.402
0.000 -1.892 9.273
-1.639 0.946 9.273
1.639 0.946 9.273
0.000 0.000 13.003
0.000 -1.677 4.616
-1.453 0.839 4.616
0.000 0.000 2.562
-1.453 -0.839 8.222
1.453 0.839 4.616
0.000 0.000 10.250
1.453 -0.839 8.222
0.000 1.678 8.222
```

Properties
- V: 14.9 Å³ per atom
- Final energy: -6.27 eV per atom
- Space group: R3m (160)
- Formation energy without anion corrections: -1838.1 kJ/mol of formula units

Material: Sr2RhPbO6
Method: DFT, PBE
State: relaxed

Geometry as POSCAR:
```
Sr2RhPbO6
1.0
5.799 0.000 0.000
0.000 5.923 0.000
-5.714 0.000 8.221
Sr Rh Pb O
4 2 2 12
Cartesian
-0.051 0.295 2.048
-2.908 2.667 6.158
2.993 3.257 2.062
0.136 5.629 6.173
-2.857 0.000 4.110
0.000 2.962 0.000
2.899 0.000 0.000
0.042 2.962 4.110
-4.620 1.288 7.809
-1.763 1.674 3.698
-4.083 4.113 7.832
-1.226 4.773 3.722
-2.303 0.176 6.053
0.554 2.786 1.942
-0.469 3.138 6.278
2.388 5.747 2.168
1.311 1.151 4.499
4.168 1.811 0.389
1.848 4.250 4.522
4.705 4.636 0.412
```

Properties
- V: 14.1 Å³ per atom
- Final energy: -6.06 eV per atom
- Space group: P2_1/c (14)
- Formation energy without anion corrections: -1589.5 kJ/mol of formula units

Material: TaRhPb2O6
Method: DFT, PBE
State: relaxed

Geometry as POSCAR:
```
TaRhPb2O6
1.0
5.746 0.000 0.000
0.000 5.688 0.000
-5.731 0.000 8.048
Ta Rh Pb O
2 2 4 12
Cartesian
0.000 0.000 0.000
-2.866 2.844 4.024
0.007 0.000 4.024
2.873 2.844 0.000
-2.896 0.045 6.035
-0.031 2.800 2.011
0.046 2.889 6.037
2.911 5.644 2.013
-1.540 1.355 3.783
-4.405 1.489 7.807
-1.380 4.172 3.784
-4.246 4.361 7.808
0.315 0.011 1.976
-2.551 2.833 6.000
2.566 2.855 2.048
-0.300 5.677 6.072
4.261 1.328 0.240
1.395 1.516 4.264
4.420 4.199 0.241
1.555 4.333 4.265
```

Properties
- V: 13.2 Å³ per atom
- Final energy: -7.24 eV per atom
- Space group: P2_1/c (14)
- Formation energy without anion corrections: -1543.2 kJ/mol of formula units

Material: TaRhPbO6
Method: DFT, PBE
State: relaxed

Geometry as POSCAR:
```
TaRhPbO6
1.0
5.203 0.000 0.000
-2.602 4.506 0.000
0.000 0.000 4.980
Ta Rh Pb O
1 1 1 6
Cartesian
0.000 0.000 0.000
0.000 3.004 0.000
2.602 1.502 2.490
-0.749 1.480 1.126
-1.695 3.118 3.854
0.749 1.480 3.854
-0.946 4.415 1.126
1.695 3.118 1.126
0.946 4.415 3.854
```

Properties
- V: 13.0 Å³ per atom
- Final energy: -7.42 eV per atom
- Space group: P312 (149)
- Formation energy without anion corrections: -1363.6 kJ/mol of formula units

Material: TbRhPb2O6
Method: DFT, PBE
State: relaxed

Geometry as POSCAR:
```
TbRhPb2O6
1.0
5.803 0.000 0.000
0.000 5.880 0.000
-5.801 0.000 8.260
Tb Rh Pb O
2 2 4 12
Cartesian
0.000 0.000 0.000
-2.900 2.940 4.130
0.001 0.000 4.130
2.901 2.940 0.000
-2.949 0.235 6.216
-0.048 2.704 2.086
0.051 3.175 6.174
2.951 5.644 2.044
-1.607 1.119 3.704
-4.508 1.821 7.834
-1.050 4.213 3.746
-3.950 4.606 7.876
0.559 0.173 2.206
-2.341 2.767 6.336
2.343 3.113 1.924
-0.557 5.707 6.054
3.952 1.273 0.384
1.052 1.667 4.514
4.510 4.059 0.426
1.609 4.761 4.556
```

Properties
- V: 14.1 Å³ per atom
- Final energy: -6.44 eV per atom
- Space group: P2_1/c (14)
- Formation energy without anion corrections: -1474.6 kJ/mol of formula units

Material: Tc2RhPbO8
Method: DFT, PBE
State: relaxed

Geometry as POSCAR:
```
Tc2RhPbO8
1.0
2.561 1.478 7.936
-2.561 1.478 7.936
0.000 -2.957 7.936
Tc Rh Pb O
2 1 1 8
Cartesian
0.000 0.000 5.930
0.000 0.000 17.879
0.000 0.000 11.904
0.000 0.000 0.000
-0.862 -1.402 10.481
-0.783 -1.447 13.328
0.000 0.000 7.723
-0.783 1.447 10.481
-0.862 1.402 13.328
0.000 0.000 16.085
1.645 -0.045 10.481
1.645 0.045 13.328
```

Properties
- V: 15.0 Å³ per atom
- Final energy: -6.92 eV per atom
- Space group: R32 (155)
- Formation energy without anion corrections: -1120.6 kJ/mol of formula units

Q: Which value of final energy does entry 3 give?
A: -7.24 eV per atom